UMnPb2O6 after structural relaxation. Source: the Alexandria database, functional GGA+U.

Results
- space group = C2/m, No. 12
- size of the total moment (μB per formula unit) = 5.0
- VASP energy (eV/atom) = -7.6444

abc: 6.086 5.956 5.924
angles: 59.81 59.74 89.98
Sites, in units of the cell vectors:
Mn  0.000  0.000  0.000
O  0.802  0.804  0.887
O  0.198  0.196  0.113
O  0.349  0.264  0.470
O  0.651  0.736  0.530
O  0.198  0.691  0.113
O  0.802  0.309  0.887
Pb  0.210  0.747  0.506
Pb  0.790  0.253  0.494
U  0.500  0.500  0.000